1.
The following is a PBE calculation of a relaxed structure of NaGeBiCl6, from Alexandria. Values from VASP.

Quantum ESPRESSO input file:
```
&SYSTEM
  ibrav = 0, nat = 18, ntyp = 4
/
ATOMIC_SPECIES
Ge 72.64 Ge.upf
Cl 35.45 Cl.upf
Na 22.99 Na.upf
Bi 208.98 Bi.upf
ATOMIC_POSITIONS crystal
Ge 0.000 0.000 0.001
Cl 0.202 0.798 0.840
Cl 0.691 0.691 0.663
Cl 0.798 0.202 0.840
Ge 0.500 0.500 0.501
Na 0.500 0.500 0.168
Cl 0.796 0.204 0.495
Cl 0.298 0.298 0.340
Cl 0.809 0.191 0.163
Na 0.000 0.000 0.668
Cl 0.204 0.796 0.495
Cl 0.309 0.309 0.663
Cl 0.702 0.702 0.340
Cl 0.704 0.704 0.995
Cl 0.191 0.809 0.163
Bi 0.000 0.000 0.335
Cl 0.296 0.296 0.995
Bi 0.500 0.500 0.835
CELL_PARAMETERS angstrom
-5.454 -0.037 3.539
-3.055 -3.233 -4.742
3.400 -10.735 5.129
```

## Properties
E_form (uncorrected) (eV per atom): -1.09
Energy (eV/atom): -3.42
Density (Mg/m³): 3.28
Space-group type: No. 102

2.
The following is a PBE calculation of a relaxed structure of NaGe2BiCl8, from Alexandria. Values from VASP.

Quantum ESPRESSO input file:
```
&SYSTEM
  ibrav = 0, nat = 12, ntyp = 4
/
ATOMIC_SPECIES
Cl 35.45 Cl.upf
Ge 72.64 Ge.upf
Na 22.99 Na.upf
Bi 208.98 Bi.upf
ATOMIC_POSITIONS crystal
Cl 0.808 0.210 0.758
Ge 0.466 0.468 0.742
Na 0.000 0.000 0.500
Cl 0.853 0.253 0.243
Cl 0.321 0.256 0.966
Cl 0.679 0.744 0.034
Cl 0.192 0.790 0.242
Cl 0.147 0.747 0.757
Cl 0.338 0.283 0.532
Bi 0.000 0.000 0.000
Ge 0.534 0.532 0.258
Cl 0.662 0.717 0.468
CELL_PARAMETERS angstrom
-1.066 4.595 -4.790
-5.883 -2.136 -1.142
-3.138 5.363 5.576
```

## Properties
E_form (uncorrected) (eV per atom): -1.02
Energy (eV/atom): -3.45
Density (Mg/m³): 3.08
Space-group type: No. 2

3.
The following is a PBE calculation of a relaxed structure of Nd3GeBiCl, from Alexandria. Values from VASP.

Quantum ESPRESSO input file:
```
&SYSTEM
  ibrav = 0, nat = 12, ntyp = 4
/
ATOMIC_SPECIES
Ge 72.64 Ge.upf
Cl 35.45 Cl.upf
Bi 208.98 Bi.upf
Nd 144.24 Nd.upf
ATOMIC_POSITIONS crystal
Ge 0.250 0.661 0.160
Cl 0.750 0.904 0.423
Bi 0.250 0.181 0.225
Nd 0.750 0.887 0.136
Nd 0.250 0.574 0.847
Nd 0.750 0.426 0.153
Ge 0.750 0.339 0.840
Cl 0.250 0.096 0.577
Nd 0.250 0.113 0.864
Nd 0.750 0.265 0.522
Nd 0.250 0.735 0.478
Bi 0.750 0.819 0.775
CELL_PARAMETERS angstrom
-3.997 2.043 0.284
-0.344 -1.861 8.542
4.402 8.621 -0.059
```

## Properties
E_form (uncorrected) (eV per atom): -0.99
Energy (eV/atom): -5.10
Density (Mg/m³): 6.69
Space-group type: No. 11

4.
The following is a PBE calculation of a relaxed structure of Pr3GeBiCl, from Alexandria. Values from VASP.

Quantum ESPRESSO input file:
```
&SYSTEM
  ibrav = 0, nat = 12, ntyp = 4
/
ATOMIC_SPECIES
Pr 140.91 Pr.upf
Bi 208.98 Bi.upf
Cl 35.45 Cl.upf
Ge 72.64 Ge.upf
ATOMIC_POSITIONS crystal
Pr 0.750 0.264 0.521
Bi 0.750 0.819 0.775
Pr 0.250 0.736 0.479
Cl 0.750 0.905 0.424
Ge 0.750 0.339 0.840
Pr 0.750 0.888 0.136
Cl 0.250 0.095 0.576
Pr 0.750 0.426 0.154
Pr 0.250 0.112 0.864
Ge 0.250 0.661 0.160
Bi 0.250 0.181 0.225
Pr 0.250 0.574 0.846
CELL_PARAMETERS angstrom
-1.217 -0.397 -4.348
-7.056 -4.722 2.406
-3.442 9.118 0.132
```

## Properties
E_form (uncorrected) (eV per atom): -1.00
Energy (eV/atom): -5.11
Density (Mg/m³): 6.45
Space-group type: No. 11

> Which of these has the highest energy?

NaGeBiCl6